Computed, not measured: a geometry-optimized Y2Ni2O7 structure at the GGA+U level of DFT.

Results
- Electronic total energy: -0.2441 Ha/atom
- DOS at the Fermi energy: 4.4 states/eV/cell
- Crystal system: cubic
- Space-group type: Fd-3m

Cell lengths 7.051, 7.051, 7.051 Å; angles 60.00, 60.00, 60.00 degrees
Atoms (fractional coordinates):
Y 0.125 0.125 0.125
Y 0.625 0.125 0.125
Y 0.125 0.125 0.625
Y 0.125 0.625 0.125
Ni 0.625 0.625 0.625
Ni 0.125 0.625 0.625
Ni 0.625 0.625 0.125
Ni 0.625 0.125 0.625
O 0.000 0.000 0.000
O 0.250 0.250 0.250
O 0.294 0.294 0.706
O 0.544 0.544 0.956
O 0.706 0.294 0.706
O 0.706 0.294 0.294
O 0.294 0.706 0.706
O 0.294 0.706 0.294
O 0.706 0.706 0.294
O 0.956 0.544 0.544
O 0.544 0.956 0.956
O 0.956 0.956 0.544
O 0.956 0.544 0.956
O 0.544 0.956 0.544